(1)
Rb2ScAsSe4: relaxed, PBE-GGA.

Magnetic moment (μB/f.u.): 0.0
Final energy (eV per atom): -4.33
ΔE_f (raw) (eV per atom): -0.97

Cell: 8.6026 8.6029 8.5126 Å, 119.64 119.64 89.98°
Closest atoms and distances in Å follow each position.
Fractional positions:
Rb 0.5000 0.0000 0.0000  6 Se 3.32
Rb 0.5000 0.0000 0.5000  6 Se 3.32-3.33
Rb 0.0000 0.0000 0.5000  6 Se 3.29-3.30
Rb 0.5000 0.5000 0.0000  6 Se 3.29-3.30
Sc 0.0000 0.5000 0.0000  6 Se 2.79-2.81
Sc 0.0000 0.5000 0.5000  6 Se 2.79-2.81
As 0.5000 0.5000 0.5000  6 Se 2.82-2.83
As 0.0000 0.0000 0.0000  6 Se 2.82-2.83
Se 0.1887 0.7283 0.9583  2 Sc 2.81, 1 As 2.82
Se 0.7717 0.3113 0.5417  2 Sc 2.81, 1 As 2.82
Se 0.2283 0.6887 0.4583  2 Sc 2.81, 1 As 2.82
Se 0.8113 0.2717 0.0417  2 Sc 2.81, 1 As 2.82
Se 0.7713 0.7274 0.9600  1 Sc 2.79, 2 As 2.83
Se 0.7726 0.7287 0.5401  1 Sc 2.79, 2 As 2.83
Se 0.2274 0.2714 0.4599  1 Sc 2.79, 2 As 2.83
Se 0.2287 0.2726 0.0400  1 Sc 2.79, 2 As 2.83

(2)
Rb2ScAs2Se6: relaxed, PBE-GGA.

Magnetic moment (μB/f.u.): 0.0
Final energy (eV per atom): -4.20
N(E_F) (states/eV per atom): 0.43
ΔE_f (raw) (eV per atom): -0.70

Cell: 7.3527 7.1751 8.6324 Å, 112.79 90.00 120.82°
Closest atoms and distances in Å follow each position.
Fractional positions:
Rb 0.7022 0.4045 0.1810  7 Se 3.38-3.72
Rb 0.2978 0.5955 0.8190  7 Se 3.38-3.72
Sc 0.5000 0.0000 0.5000  6 Se 2.66-2.76
As 0.9455 0.8911 0.8075  3 Se 2.40-2.41
As 0.0545 0.1089 0.1925  3 Se 2.40-2.41
Se 0.7369 0.4739 0.5928  1 As 2.40, 1 Sc 2.66
Se 0.2152 0.9037 0.2278  1 As 2.41
Se 0.3115 0.0963 0.7722  1 As 2.41
Se 0.7848 0.0963 0.7722  1 As 2.41
Se 0.6885 0.9037 0.2278  1 As 2.41
Se 0.2631 0.5261 0.4072  1 As 2.40, 1 Sc 2.66

Which formula does entry 1 have?
Rb2ScAsSe4

Among the records above, which one has the lowest final energy?
Rb2ScAsSe4

ΔE_f (raw) of number 1 (Rb2ScAsSe4)?
-0.97 eV per atom